First-principles (PBE-GGA) data for an optimized crystal structure of BeAs2RuBr, as listed in Alexandria.

The space group is P4/mmm (No. 123) and the conventional cell measures 4.3314, 4.3314 and 4.7769 Å, with angles of 90.00, 90.00 and 90.00 degrees. The asymmetric unit holds Be at (0.0000, 0.0000, 0.0000), As at (0.0000, 0.5000, 0.0000), Ru at (0.5000, 0.5000, 0.5000) and Br at (0.0000, 0.0000, 0.5000).

The value obtained for the formation energy without anion corrections is 85.3 kJ per mole of atoms. For the magnetic moment, the calculation gives 0.0 μB per formula unit. For the energy above the lowest structure with this stoichiometry, the calculation gives 0.0651 eV per atom. The calculation puts the density at 6.3 g/cm³. The total energy comes out at -19.55 eV/cell. As for the crystal system: tetragonal.